A geometry-optimized V4ReRu structure. Source: the Alexandria database, functional PBE.

Cell and atoms, written as POSCAR:
```
V4ReRu
1.0
0.0000 3.4458 3.4458
3.4458 0.0000 3.4458
3.4458 3.4458 0.0000
V Re Ru
4 1 1
Direct
0.1246 0.1246 0.1246 V
0.1246 0.1246 0.6261 V
0.1246 0.6261 0.1246 V
0.6261 0.1246 0.1246 V
0.7500 0.7500 0.7500 Re
0.5000 0.5000 0.5000 Ru
```

Space group: F-43m, No. 216
V in Å³/f.u.: 81.8
Calculated formation energy in eV/atom: 0.02
Offset from the most stable computed form in meV/atom: 350.0
D(E_F) in states/eV/f.u.: 11.585